[1]
First-principles (PBE-GGA) data for a geometry-optimized Li2AgPd4 structure, as listed in Alexandria.

```
Li2AgPd4
1.0
-1.841 1.841 9.313
1.841 -1.841 9.313
1.841 1.841 -9.313
Li Ag Pd
2 1 4
Direct
0.111 0.111 0.000
0.889 0.889 0.000
0.500 0.500 0.000
0.250 0.750 0.500
0.358 0.358 0.000
0.642 0.642 0.000
0.750 0.250 0.500
```

For the energy of formation from the pure elements, the calculation gives 6 meV/atom. The value obtained for the density is 7.2 g/cm3. Its density of states at the Fermi level is 0.96 states/eV per atom. For the magnetization, the calculation gives 0.000 μB per cell. The uncorrected energy is -27.41 eV/cell.

---

[2]
First-principles (PBE-GGA) data for a geometry-optimized FeNi2HAu structure, as listed in Alexandria.

```
FeNi2HAu
1.0
3.772 0.000 0.000
0.000 3.772 0.000
0.000 0.000 3.787
Fe Ni H Au
1 2 1 1
Direct
0.000 0.000 0.000
0.000 0.500 0.500
0.500 0.000 0.500
0.000 0.000 0.500
0.500 0.500 0.000
```

The value obtained for the density is 11.4 g/cm3. Its density of states at the Fermi level is 1.18 states/eV per atom. For the magnetization, the calculation gives 3.771 μB per cell. The uncorrected energy is -26.37 eV/cell.

---

[3]
First-principles (PBE-GGA) data for a geometry-optimized SmEuZnOs structure, as listed in Alexandria.

```
SmEuZnOs
1.0
0.000 3.547 3.547
3.547 0.000 3.547
3.547 3.547 0.000
Sm Eu Zn Os
1 1 1 1
Direct
0.000 0.000 0.000
0.500 0.500 0.500
0.750 0.750 0.750
0.250 0.250 0.250
```

For the energy of formation from the pure elements, the calculation gives -16 meV/atom. The value obtained for the density is 10.4 g/cm3. Its density of states at the Fermi level is 0.81 states/eV per atom. For the magnetization, the calculation gives 6.859 μB per cell. The uncorrected energy is -27.56 eV/cell.

---

[4]
First-principles (PBE-GGA) data for a geometry-optimized AgSe2NCl structure, as listed in Alexandria.

```
AgSe2NCl
1.0
5.334 0.000 0.000
0.000 5.334 0.000
0.000 0.000 4.087
Ag Se N Cl
1 2 1 1
Direct
0.000 0.000 0.000
0.000 0.500 0.000
0.500 0.000 0.000
0.000 0.000 0.500
0.500 0.500 0.500
```

Its uncorrected formation energy is 1.32 eV/atom. The calculation puts the energy above the most stable polymorph in this dataset at 0.000 eV/atom. The value obtained for the density is 4.5 g/cm3. Its density of states at the Fermi level is 0.83 states/eV per atom. For the magnetization, the calculation gives 4.710 μB per cell. The uncorrected energy is -13.37 eV/cell.